Entry 1:
Computed, not measured: NaHf2SCl at its PBEsol-relaxed geometry at the SCAN level of DFT.

a b c (Å): 4.7027 4.7027 5.6322
angles (deg): 90.00 90.00 90.00
With the nearest neighbours (Å) after each atom.
Space group P4/mmm (No. 123)
Unique sites:
Na 0.0000 0.0000 0.0000  2 S 2.82
Hf 0.0000 0.5000 0.5000  2 S 2.35
S 0.0000 0.0000 0.5000  4 Hf 2.35
Cl 0.5000 0.5000 0.0000  4 Na 3.33, 8 Hf 3.67

Properties
Uncorrected formation energy in kJ/mol of atoms: -2.5
Calculated total energy in eV per atom: -29.460
Density of states at the Fermi level in states/eV/atom: 1.16

Entry 2:
Computed, not measured: HfNbS2Cl at its PBEsol-relaxed geometry at the SCAN level of DFT.

a b c (Å): 4.8837 4.8837 4.7182
angles (deg): 90.00 90.00 90.00
With the nearest neighbours (Å) after each atom.
Space group P4/mmm (No. 123)
Unique sites:
Hf 0.0000 0.0000 0.0000  2 Cl 2.36, 4 S 2.44
Nb 0.5000 0.5000 0.5000  8 S 3.40, 4 Cl 3.45
S 0.0000 0.5000 0.0000  2 Hf 2.44
Cl 0.0000 0.0000 0.5000  2 Hf 2.36

Properties
Uncorrected formation energy in kJ/mol of atoms: -40.4
Calculated total energy in eV per atom: -25.026
Density of states at the Fermi level in states/eV/atom: 0.63

Entry 3:
Computed, not measured: HfNbSCl2 at its PBEsol-relaxed geometry at the SCAN level of DFT.

a b c (Å): 4.7175 4.7175 4.8303
angles (deg): 90.00 90.00 90.00
With the nearest neighbours (Å) after each atom.
Space group P4/mmm (No. 123)
Unique sites:
Hf 0.0000 0.0000 0.0000  4 S 3.34, 8 Cl 3.38
Nb 0.5000 0.5000 0.5000  4 Cl 2.36, 2 S 2.42
S 0.5000 0.5000 0.0000  2 Nb 2.42
Cl 0.0000 0.5000 0.5000  2 Nb 2.36

Properties
Uncorrected formation energy in kJ/mol of atoms: 5.6
Calculated total energy in eV per atom: -24.219
Density of states at the Fermi level in states/eV/atom: 0.71

Entry 4:
Computed, not measured: Hf2NiRhCl at its PBEsol-relaxed geometry at the SCAN level of DFT.

a b c (Å): 4.7186 4.7186 4.4636
angles (deg): 90.00 90.00 90.00
With the nearest neighbours (Å) after each atom.
Space group P4/mmm (No. 123)
Unique sites:
Hf 0.0000 0.5000 0.0000  2 Ni 2.36
Ni 0.0000 0.0000 0.0000  2 Rh 2.23, 4 Hf 2.36
Rh 0.0000 0.0000 0.5000  2 Ni 2.23
Cl 0.5000 0.5000 0.5000  8 Hf 3.25, 4 Rh 3.34

Properties
Uncorrected formation energy in kJ/mol of atoms: 33.5
Calculated total energy in eV per atom: -36.306
Density of states at the Fermi level in states/eV/atom: 0.88

Entry 5:
Computed, not measured: HfS2ClO at its PBEsol-relaxed geometry at the SCAN level of DFT.

a b c (Å): 4.8787 4.8787 4.8805
angles (deg): 90.00 90.00 90.00
With the nearest neighbours (Å) after each atom.
Space group P4/mmm (No. 123)
Unique sites:
Hf 0.0000 0.0000 0.0000  4 S 2.44, 2 Cl 2.44
S 0.0000 0.5000 0.0000  2 Hf 2.44
Cl 0.0000 0.0000 0.5000  2 Hf 2.44
O 0.5000 0.5000 0.5000  4 Cl 3.45, 8 S 3.45

Properties
Uncorrected formation energy in kJ/mol of atoms: -34.8
Calculated total energy in eV per atom: -19.588
Density of states at the Fermi level in states/eV/atom: 0.84

Entry 6:
Computed, not measured: HfOsCl3 at its PBEsol-relaxed geometry at the SCAN level of DFT.

a b c (Å): 4.8809 4.8809 4.8809
angles (deg): 90.00 90.00 90.00
With the nearest neighbours (Å) after each atom.
Space group Pm-3m (No. 221)
Unique sites:
Hf 0.0000 0.0000 0.0000  6 Cl 2.44
Os 0.5000 0.5000 0.5000  12 Cl 3.45
Cl 0.0000 0.0000 0.5000  2 Hf 2.44

Properties
Uncorrected formation energy in kJ/mol of atoms: 27.3
Calculated total energy in eV per atom: -31.414
Density of states at the Fermi level in states/eV/atom: 0.76

Entry 7:
Computed, not measured: Hf3OsCl at its PBEsol-relaxed geometry at the SCAN level of DFT.

a b c (Å): 5.0184 5.0184 5.0184
angles (deg): 90.00 90.00 90.00
With the nearest neighbours (Å) after each atom.
Space group Pm-3m (No. 221)
Unique sites:
Hf 0.0000 0.0000 0.5000  2 Os 2.51
Os 0.0000 0.0000 0.0000  6 Hf 2.51
Cl 0.5000 0.5000 0.5000  12 Hf 3.55

Properties
Uncorrected formation energy in kJ/mol of atoms: 28.1
Calculated total energy in eV per atom: -53.284
Density of states at the Fermi level in states/eV/atom: 1.03

Entry 8:
Computed, not measured: HfOsWCl2 at its PBEsol-relaxed geometry at the SCAN level of DFT.

a b c (Å): 4.5111 4.5111 5.2574
angles (deg): 90.00 90.00 90.00
With the nearest neighbours (Å) after each atom.
Space group P4/mmm (No. 123)
Unique sites:
Hf 0.0000 0.0000 0.0000  2 Os 2.63
Os 0.0000 0.0000 0.5000  4 Cl 2.26
W 0.5000 0.5000 0.0000  4 Hf 3.19, 8 Cl 3.46
Cl 0.0000 0.5000 0.5000  2 Os 2.26

Properties
Uncorrected formation energy in kJ/mol of atoms: 150.9
Calculated total energy in eV per atom: -42.476
Density of states at the Fermi level in states/eV/atom: 0.95

Entry 9:
Computed, not measured: HfP2PbCl at its PBEsol-relaxed geometry at the SCAN level of DFT.

a b c (Å): 5.0468 5.0468 4.9347
angles (deg): 90.00 90.00 90.00
With the nearest neighbours (Å) after each atom.
Space group P4/mmm (No. 123)
Unique sites:
Hf 0.0000 0.0000 0.0000  8 P 3.53, 4 Cl 3.57
P 0.0000 0.5000 0.5000  2 Pb 2.52
Pb 0.5000 0.5000 0.5000  2 Cl 2.47, 4 P 2.52
Cl 0.5000 0.5000 0.0000  2 Pb 2.47

Properties
Uncorrected formation energy in kJ/mol of atoms: 96.7
Calculated total energy in eV per atom: -32.444
Density of states at the Fermi level in states/eV/atom: 0.48

Entry 10:
Computed, not measured: HfRePCl2 at its PBEsol-relaxed geometry at the SCAN level of DFT.

a b c (Å): 4.7464 4.7464 5.1817
angles (deg): 90.00 90.00 90.00
With the nearest neighbours (Å) after each atom.
Space group P4/mmm (No. 123)
Unique sites:
Hf 0.0000 0.0000 0.0000  4 Cl 2.37, 2 P 2.59
Re 0.5000 0.5000 0.5000  4 P 3.36, 8 Cl 3.51
P 0.0000 0.0000 0.5000  2 Hf 2.59
Cl 0.0000 0.5000 0.0000  2 Hf 2.37

Properties
Uncorrected formation energy in kJ/mol of atoms: 46.4
Calculated total energy in eV per atom: -31.544
Density of states at the Fermi level in states/eV/atom: 0.34

Entry 11:
Computed, not measured: HfP2RhCl at its PBEsol-relaxed geometry at the SCAN level of DFT.

a b c (Å): 4.9218 4.9218 4.6927
angles (deg): 90.00 90.00 90.00
With the nearest neighbours (Å) after each atom.
Space group P4/mmm (No. 123)
Unique sites:
Hf 0.0000 0.0000 0.0000  2 Cl 2.35, 4 P 2.46
P 0.0000 0.5000 0.0000  2 Hf 2.46
Rh 0.5000 0.5000 0.5000  8 P 3.40, 4 Cl 3.48
Cl 0.0000 0.0000 0.5000  2 Hf 2.35

Properties
Uncorrected formation energy in kJ/mol of atoms: 38.8
Calculated total energy in eV per atom: -24.641
E above lowest polymorph in eV/atom: 0.083
Density of states at the Fermi level in states/eV/atom: 0.69

Entry 12:
Computed, not measured: HfP2RhCl at its PBEsol-relaxed geometry at the SCAN level of DFT.

a b c (Å): 4.5450 4.5450 4.5089
angles (deg): 90.00 90.00 90.00
With the nearest neighbours (Å) after each atom.
Space group P4/mmm (No. 123)
Unique sites:
Hf 0.0000 0.0000 0.0000  8 P 3.20, 4 Cl 3.21
P 0.0000 0.5000 0.5000  2 Rh 2.27
Rh 0.5000 0.5000 0.5000  2 Cl 2.25, 4 P 2.27
Cl 0.5000 0.5000 0.0000  2 Rh 2.25

Properties
Uncorrected formation energy in kJ/mol of atoms: 30.8
Calculated total energy in eV per atom: -24.724
E above lowest polymorph in eV/atom: 0.000
Density of states at the Fermi level in states/eV/atom: 0.60